Compound: SrTc2Br
Source: Alexandria via LeMat-Bulk
Functional: PBE
Structure: relaxed

Values from the calculation:
final energy = -5.38 eV per atom
crystal system = tetragonal
energy relative to the elements, uncorrected = 247 kJ/mol of formula units
SG = P4/mmm, No. 123
total magnetic moment = 1.35 μB per formula unit

a = 6.301 Å, b = 3.836 Å, c = 3.836 Å
α = 90.00°, β = 90.00°, γ = 90.00°
Each line ends with the local moment (μB).
Atoms (fractional coordinates):
Sr1 0.500 0.000 0.500  0.01
Tc1 0.000 0.000 0.000  0.52
Tc2 0.000 0.500 0.500  0.52
Br1 0.500 0.500 0.000  0.06